The following is a DFT calculation (GGA-PBEsol) of Lu2PdO4 after structural relaxation.

Summary:
electronic total energy = -8.04 eV per atom
total magnetization = 0.0 μB per cell

Geometry as POSCAR:
```
Lu2PdO4
1.0
-4.1215 2.4150 -2.5976
-1.7469 -4.8507 -1.7379
-2.3875 1.9158 5.5692
Lu Pd O
4 2 8
direct
0.0000 0.3391 0.6782
0.5000 0.1609 0.3218
0.0000 0.6609 0.3218
0.5000 0.8391 0.6782
0.0000 0.0000 0.0000
0.5000 0.5000 0.0000
0.2500 0.9913 0.5000
0.7500 0.5087 0.5000
0.7500 0.0087 0.5000
0.2500 0.4913 0.5000
0.3289 0.8289 0.0000
0.1711 0.3289 0.0000
0.8289 0.6711 0.0000
0.6711 0.1711 0.0000
```